# TcWSe2

Crystalline TcWSe2 at its relaxed geometry (GGA-PBE, Alexandria via LeMat-Bulk).

Calculated values
Formation energy (no corrections) ... 0.762 eV/atom
Energy above the most stable polymorph in this dataset ... 853 meV per atom
Space-group type ... Pmmm (47)

a = 3.0485 Å, b = 4.0660 Å, c = 5.5604 Å
α = 90.00°, β = 90.00°, γ = 90.00°
Element x y z (fractional)
Tc 0.0000 0.0000 0.0000
W 0.5000 0.0000 0.5000
Se 0.0000 0.5000 0.5000
Se 0.5000 0.5000 0.0000